This record from Alexandria via LeMat-Bulk describes crystalline VTeNF2 at its relaxed geometry. The functional is PBE with a Hubbard U.

Results
The total energy comes out at -4.569 eV/atom. The calculation puts the distance to the lowest polymorph of the same formula at 0.687 eV per atom. The value obtained for the density of states at the Fermi level is 1.6 states/eV/cell. Its total moment is 3.73 μB per cell.

The structure in POSCAR format:
```
VTeNF2
1.0
-2.402 2.731 2.779
0.018 -3.257 3.216
3.539 1.543 1.543
Te N V F
1 1 1 2
Direct
0.000 0.000 0.000 Te
0.000 0.000 0.500 N
0.500 0.500 0.500 V
0.500 0.000 0.000 F
0.000 0.500 0.000 F
```